The following is a PBE calculation of crystalline Cs2Ag2SbSe4 at its relaxed geometry, from Alexandria via LeMat-Bulk.

POSCAR file:
```
Cs2Ag2SbSe4
1.0
8.1386 -2.1454 0.0000
8.1386 2.1454 0.0000
-2.8974 0.0000 7.9850
Cs Ag Sb Se
2 2 1 4
direct
0.1343 0.1343 0.0629 Cs
0.8657 0.8657 0.9371 Cs
0.3115 0.3115 0.5163 Ag
0.6885 0.6885 0.4837 Ag
0.0000 0.0000 0.5000 Sb
0.1874 0.1874 0.6748 Se
0.4827 0.4827 0.7179 Se
0.5173 0.5173 0.2821 Se
0.8126 0.8126 0.3252 Se
```

Spin magnetization ... 0.00 μB per cell
Calculated volume ... 278.8 Å³ per cell
Raw formation energy ... -0.542 eV/atom